No. 1
Entry from Alexandria: a geometry-optimized RbBaAsI2 structure (PBE).

a b c (Å): 6.1572 6.1572 6.1871
angles (deg): 90.00 90.00 90.00
Space group P4/mmm (No. 123)
Symmetry-distinct sites (fractional):
Rb: 0.0000 0.0000 0.0000
Ba: 0.5000 0.5000 0.0000
As: 0.0000 0.0000 0.5000
I: 0.0000 0.5000 0.5000

Results
E_form (uncorrected), eV per atom: -0.27
Density, g cm⁻³: 3.90
Calculated total energy, eV per atom: -2.40

=====

No. 2
Entry from Alexandria: a geometry-optimized BaReAs2I structure (PBE).

a b c (Å): 4.7965 4.7965 6.8784
angles (deg): 90.00 90.00 90.00
Space group P4/mmm (No. 123)
Symmetry-distinct sites (fractional):
Ba: 0.0000 0.0000 0.0000
Re: 0.0000 0.0000 0.5000
As: 0.0000 0.5000 0.5000
I: 0.5000 0.5000 0.0000

Results
E_form (uncorrected), eV per atom: -0.28
Density, g cm⁻³: 6.30
Calculated total energy, eV per atom: -5.33

=====

No. 3
Entry from Alexandria: a geometry-optimized Ba6AsRh2I3 structure (PBE).

a b c (Å): 8.1206 14.0611 8.8730
angles (deg): 90.00 107.81 90.00
Space group C2/m (No. 12)
Symmetry-distinct sites (fractional):
Ba: 0.2214 0.0000 0.1958
Ba: 0.2374 0.3281 0.1964
As: 0.0000 0.5000 0.0000
Rh: 0.0000 0.1668 0.0000
I: 0.0000 0.0000 0.5000
I: 0.0000 0.3352 0.5000

Results
E_form (uncorrected), eV per atom: -1.03
Density, g cm⁻³: 5.11
Calculated total energy, eV per atom: -3.99

=====

No. 4
Entry from Alexandria: a geometry-optimized Ba6As2SI2 structure (PBE).

a b c (Å): 8.3091 14.3023 8.6348
angles (deg): 90.00 108.85 90.00
Space group C2/m (No. 12)
Symmetry-distinct sites (fractional):
Ba: 0.2352 0.0000 0.2104
Ba: 0.2377 0.3364 0.2102
As: 0.0000 0.1685 0.0000
S: 0.0000 0.5000 0.0000
I: 0.0000 0.3319 0.5000

Results
E_form (uncorrected), eV per atom: -1.41
Density, g cm⁻³: 4.31
Calculated total energy, eV per atom: -3.96

=====

No. 5
Entry from Alexandria: a geometry-optimized Ba6AsS2I3 structure (PBE).

a b c (Å): 8.1485 14.1042 8.6796
angles (deg): 90.00 108.22 90.00
Space group C2/m (No. 12)
Symmetry-distinct sites (fractional):
Ba: 0.2325 0.0000 0.2063
Ba: 0.2370 0.3319 0.2066
As: 0.0000 0.5000 0.0000
S: 0.0000 0.1667 0.0000
I: 0.0000 0.0000 0.5000
I: 0.0000 0.3347 0.5000

Results
E_form (uncorrected), eV per atom: -1.65
Density, g cm⁻³: 4.71
Calculated total energy, eV per atom: -4.07

=====

No. 6
Entry from Alexandria: a geometry-optimized Ba4AsS2I structure (PBE).

a b c (Å): 8.1713 4.7250 8.2281
angles (deg): 90.00 108.64 90.00
Space group P2/m (No. 10)
Symmetry-distinct sites (fractional):
Ba: 0.2251 0.0000 0.2209
Ba: 0.2404 0.5000 0.7622
As: 0.5000 0.0000 0.0000
S: 0.0000 0.0000 0.5000
S: 0.0000 0.5000 0.0000
I: 0.5000 0.5000 0.5000

Results
E_form (uncorrected), eV per atom: -1.71
Density, g cm⁻³: 4.50
Calculated total energy, eV per atom: -4.47

=====

No. 7
Entry from Alexandria: a geometry-optimized Ba8As3SI4 structure (PBE).

a b c (Å): 9.6097 9.6097 24.9687
angles (deg): 90.00 90.00 120.00
Space group R-3m (No. 166, hexagonal axes)
Symmetry-distinct sites (fractional):
Ba: 0.0000 0.0000 0.2362
Ba: 0.9996 0.4998 0.2349
As: 0.0000 0.5000 0.5000
S: 0.0000 0.0000 0.5000
I: 0.0000 0.0000 0.0000
I: 0.0000 0.5000 0.0000

Results
E_form (uncorrected), eV per atom: -1.54
Density, g cm⁻³: 4.65
Calculated total energy, eV per atom: -4.02

=====

No. 8
Entry from Alexandria: a geometry-optimized BaSb2AsI structure (PBE).

a b c (Å): 6.7682 6.7682 6.6831
angles (deg): 90.00 90.00 90.00
Space group P4/mmm (No. 123)
Symmetry-distinct sites (fractional):
Ba: 0.0000 0.0000 0.0000
Sb: 0.0000 0.5000 0.0000
As: 0.5000 0.5000 0.5000
I: 0.0000 0.0000 0.5000

Results
E_form (uncorrected), eV per atom: 0.85
Distance to the lowest polymorph of the same formula, eV per atom: 1.0923
Density, g cm⁻³: 3.16
Calculated total energy, eV per atom: -2.42

=====

No. 9
Entry from Alexandria: a geometry-optimized BaSb2AsI structure (PBE).

a b c (Å): 5.4135 5.4135 6.1308
angles (deg): 90.00 90.00 90.00
Space group P4/mmm (No. 123)
Symmetry-distinct sites (fractional):
Ba: 0.0000 0.0000 0.0000
Sb: 0.0000 0.5000 0.5000
As: 0.5000 0.5000 0.5000
I: 0.5000 0.5000 0.0000

Results
E_form (uncorrected), eV per atom: -0.24
Distance to the lowest polymorph of the same formula, eV per atom: 0.0000
Density, g cm⁻³: 5.39
Calculated total energy, eV per atom: -3.51

=====

No. 10
Entry from Alexandria: a geometry-optimized Ba8SbAs3I4 structure (PBE).

a b c (Å): 9.8271 9.8271 25.2886
angles (deg): 90.00 90.00 120.00
Space group R-3m (No. 166, hexagonal axes)
Symmetry-distinct sites (fractional):
Ba: 0.0000 0.0000 0.2343
Ba: 0.0099 0.5050 0.7641
Sb: 0.0000 0.0000 0.5000
As: 0.0000 0.5000 0.5000
I: 0.0000 0.0000 0.0000
I: 0.0000 0.5000 0.0000

Results
E_form (uncorrected), eV per atom: -1.45
Density, g cm⁻³: 4.60
Calculated total energy, eV per atom: -3.93

=====

No. 11
Entry from Alexandria: a geometry-optimized BaSbAs2I structure (PBE).

a b c (Å): 6.5340 6.5340 6.4951
angles (deg): 90.00 90.00 90.00
Space group P4/mmm (No. 123)
Symmetry-distinct sites (fractional):
Ba: 0.0000 0.0000 0.0000
Sb: 0.5000 0.5000 0.5000
As: 0.0000 0.5000 0.0000
I: 0.0000 0.0000 0.5000

Results
E_form (uncorrected), eV per atom: 0.72
Density, g cm⁻³: 3.21
Calculated total energy, eV per atom: -2.66

=====

No. 12
Entry from Alexandria: a geometry-optimized Ba6Sb2AsI structure (PBE).

a b c (Å): 8.1933 9.3682 14.4102
angles (deg): 90.00 122.67 90.00
Space group P2_1/c (No. 14)
Symmetry-distinct sites (fractional):
Ba: 0.0761 0.0538 0.2386
Ba: 0.2319 0.6986 0.0797
Ba: 0.3935 0.1672 0.0752
Sb: 0.3071 0.1146 0.7522
As: 0.0000 0.0000 0.0000
I: 0.5000 0.0000 0.5000

Results
E_form (uncorrected), eV per atom: -1.03
Density, g cm⁻³: 4.53
Calculated total energy, eV per atom: -3.63

=====

Q: Which value of E_form (uncorrected) does entry 3 give?
A: -1.03 eV per atom